Material: LiTeSN2
Method: DFT, GGA-PBE
State: relaxed

Lattice parameters (Å, degrees): 4.022 4.022 4.547 90.00 90.00 90.00
Element x y z (fractional)
Li 0.000 0.000 0.000
Te 0.500 0.500 0.500
S 0.000 0.000 0.500
N 0.000 0.500 0.000
N 0.500 0.000 0.000

Output
As for the density of states at the Fermi level: 0.517 states/eV per atom. The calculation puts the uncorrected formation energy at 1.57 eV/atom. The space group is No. 123. The final energy is -0.26401 Ry per atom. The calculation puts the volume at 73.5 Å³ per cell.

---

Material: LiTeSN2
Method: DFT, GGA-PBE
State: relaxed

Lattice parameters (Å, degrees): 3.976 3.976 5.238 90.00 90.00 90.00
Element x y z (fractional)
Li 0.000 0.000 0.000
Te 0.500 0.500 0.500
S 0.500 0.500 0.000
N 0.000 0.500 0.500
N 0.500 0.000 0.500

Output
As for the density of states at the Fermi level: 0.460 states/eV per atom. The calculation puts the uncorrected formation energy at 0.97 eV/atom. The space group is No. 123. The final energy is -0.30832 Ry per atom. The calculation puts the volume at 82.8 Å³ per cell.

---

Copy entry 2 word for word.
Material: LiTeSN2
Method: DFT, GGA-PBE
State: relaxed

Lattice parameters (Å, degrees): 3.976 3.976 5.238 90.00 90.00 90.00
Element x y z (fractional)
Li 0.000 0.000 0.000
Te 0.500 0.500 0.500
S 0.500 0.500 0.000
N 0.000 0.500 0.500
N 0.500 0.000 0.500

Output
As for the density of states at the Fermi level: 0.460 states/eV per atom. The calculation puts the uncorrected formation energy at 0.97 eV/atom. The space group is No. 123. The final energy is -0.30832 Ry per atom. The calculation puts the volume at 82.8 Å³ per cell.